# 1
# FeAg3

An optimized crystal structure of FeAg3 (GGA-PBE, the Alexandria database).

Computed properties:
**Size of the total moment**: 2.8 μB/f.u.
**ΔH_f (0 K)**: 376 meV/atom
**Crystal system**: trigonal
**D(E_F)**: 3.89 states/eV per cell

The structure in POSCAR format:
```
FeAg3
1.0
-3.570 0.020 4.069
4.567 -2.815 0.723
0.290 4.451 -3.067
Ag Fe
3 1
direct
0.000 0.000 0.000
0.000 0.500 0.500
0.500 0.500 0.000
0.500 0.000 0.500
```

---

# 2
# Fe2Ag

An optimized crystal structure of Fe2Ag (GGA-PBE, the Alexandria database).

Computed properties:
**Size of the total moment**: 5.1 μB/f.u.
**ΔH_f (0 K)**: 311 meV/atom
**Crystal system**: cubic
**D(E_F)**: 7.42 states/eV per cell

The structure in POSCAR format:
```
Fe2Ag
1.0
-2.966 -2.557 2.956
-4.863 0.579 -0.306
-2.788 -3.596 -1.836
Fe Ag
4 2
direct
0.125 0.625 0.125
0.125 0.125 0.625
0.625 0.125 0.125
0.125 0.125 0.125
0.750 0.750 0.750
0.500 0.500 0.500
```

---

# 3
# FeAg

An optimized crystal structure of FeAg (GGA-PBE, the Alexandria database).

Computed properties:
**Size of the total moment**: 2.7 μB/f.u.
**ΔH_f (0 K)**: 303 meV/atom
**Crystal system**: tetragonal
**D(E_F)**: 12.32 states/eV per cell

The structure in POSCAR format:
```
FeAg
1.0
-4.300 -8.181 1.988
2.518 -3.380 -8.462
2.385 -0.985 1.103
Fe Ag
8 8
direct
0.037 0.643 0.500
0.963 0.357 0.500
0.357 0.037 0.500
0.643 0.963 0.500
0.857 0.537 0.000
0.143 0.463 0.000
0.463 0.857 0.000
0.537 0.143 0.000
0.667 0.364 0.500
0.333 0.636 0.500
0.636 0.667 0.500
0.364 0.333 0.500
0.864 0.833 0.000
0.136 0.167 0.000
0.167 0.864 0.000
0.833 0.136 0.000
```

---

What is the formula in the first record?
FeAg3

---

Repeat the first record exactly.
# FeAg3

An optimized crystal structure of FeAg3 (GGA-PBE, the Alexandria database).

Computed properties:
**Size of the total moment**: 2.8 μB/f.u.
**ΔH_f (0 K)**: 376 meV/atom
**Crystal system**: trigonal
**D(E_F)**: 3.89 states/eV per cell

The structure in POSCAR format:
```
FeAg3
1.0
-3.570 0.020 4.069
4.567 -2.815 0.723
0.290 4.451 -3.067
Ag Fe
3 1
direct
0.000 0.000 0.000
0.000 0.500 0.500
0.500 0.500 0.000
0.500 0.000 0.500
```

---

The lowest size of the total moment belongs to which entry?
FeAg

---

Repeat the second record exactly.
# Fe2Ag

An optimized crystal structure of Fe2Ag (GGA-PBE, the Alexandria database).

Computed properties:
**Size of the total moment**: 5.1 μB/f.u.
**ΔH_f (0 K)**: 311 meV/atom
**Crystal system**: cubic
**D(E_F)**: 7.42 states/eV per cell

The structure in POSCAR format:
```
Fe2Ag
1.0
-2.966 -2.557 2.956
-4.863 0.579 -0.306
-2.788 -3.596 -1.836
Fe Ag
4 2
direct
0.125 0.625 0.125
0.125 0.125 0.625
0.625 0.125 0.125
0.125 0.125 0.125
0.750 0.750 0.750
0.500 0.500 0.500
```